(1)
Compound: CuAg
Source: OQMD via LeMat-Bulk
Functional: PBE-GGA
Structure: optimized geometry

abc: 4.8006 4.8006 11.7103
angles: 99.63 99.63 33.76
With the nearest neighbours (Å) after each atom.
Atoms (fractional coordinates):
Ag  0.3043  0.3043  0.0887  7 Cu 2.68-2.81, 5 Ag 2.79-2.90
Ag  0.5967  0.5967  0.2069  7 Cu 2.69-2.77, 5 Ag 2.79-2.90
Ag  0.5055  0.5055  0.4916  7 Cu 2.72-2.88, 5 Ag 2.77-2.85
Ag  0.7982  0.7982  0.6018  5 Cu 2.76-2.81, 7 Ag 2.77-2.85
Ag  0.3965  0.3965  0.8126  8 Cu 2.67-2.81, 4 Ag 2.79-2.84
Cu  0.0142  0.0142  0.0009  4 Cu 2.59-2.79, 7 Ag 2.67-2.77
Cu  0.8889  0.8889  0.2979  4 Cu 2.58-2.79, 7 Ag 2.71-2.81
Cu  0.2111  0.2111  0.3976  4 Cu 2.58-2.79, 7 Ag 2.69-2.76
Cu  0.0978  0.0978  0.7073  4 Cu 2.61-2.79, 8 Ag 2.77-2.88
Cu  0.6866  0.6866  0.8947  6 Cu 2.59-2.79, 5 Ag 2.67-2.72

Properties
Mass density   9.6 Mg/m³
Crystal system   monoclinic
Energy of formation   0.10 eV/atom

---

(2)
Compound: Cu4Ag5
Source: OQMD via LeMat-Bulk
Functional: PBE-GGA
Structure: optimized geometry

abc: 7.2045 7.2045 7.9915
angles: 120.97 120.97 22.81
With the nearest neighbours (Å) after each atom.
Atoms (fractional coordinates):
Ag  0.0000  0.0000  0.0000  8 Ag 2.81-2.92, 4 Cu 2.84
Ag  0.2206  0.2206  0.3209  4 Cu 2.68-2.74, 8 Ag 2.81-2.95
Ag  0.5486  0.5486  0.3557  5 Cu 2.67-2.88, 7 Ag 2.85-2.95
Ag  0.4514  0.4514  0.6443  5 Cu 2.67-2.88, 7 Ag 2.85-2.95
Ag  0.7794  0.7794  0.6791  4 Cu 2.68-2.74, 8 Ag 2.81-2.95
Cu  0.3283  0.3283  0.0084  5 Cu 2.52-2.63, 2 Ag 2.74
Cu  0.8754  0.8754  0.3023  3 Cu 2.52-2.63, 6 Ag 2.67-2.75
Cu  0.1246  0.1246  0.6977  3 Cu 2.52-2.63, 6 Ag 2.67-2.75
Cu  0.6717  0.6717  0.9916  5 Cu 2.52-2.63, 2 Ag 2.74

Properties
Mass density   9.6 Mg/m³
Crystal system   monoclinic
Energy of formation   0.07 eV/atom
Energy relative to the lowest polymorph listed for this composition   33.3 meV per atom

---

(3)
Compound: Cu4Ag5
Source: OQMD via LeMat-Bulk
Functional: PBE-GGA
Structure: optimized geometry

abc: 7.1760 7.1760 6.8912
angles: 96.31 96.31 22.91
With the nearest neighbours (Å) after each atom.
Atoms (fractional coordinates):
Ag  0.2176  0.2176  0.3225  5 Cu 2.66-2.75, 7 Ag 2.85-2.93
Ag  0.8947  0.8947  0.3527  4 Cu 2.70-2.83, 8 Ag 2.85-2.94
Ag  0.4600  0.4600  0.7015  7 Cu 2.75-2.98, 6 Ag 2.84-3.05
Ag  0.6494  0.6494  0.9647  5 Cu 2.68-2.91, 6 Ag 2.85-2.92
Ag  0.3299  0.3299  0.9885  4 Cu 2.73-2.74, 8 Ag 2.84-2.94
Cu  0.9968  0.9968  0.0428  4 Cu 2.55-2.85, 7 Ag 2.68-2.75
Cu  0.5565  0.5565  0.3384  6 Cu 2.55-2.85, 4 Ag 2.69-2.70
Cu  0.1199  0.1199  0.6319  6 Cu 2.55-2.85, 5 Ag 2.66-2.75
Cu  0.7752  0.7752  0.6569  4 Cu 2.60-2.85, 5 Ag 2.73-2.83

Properties
Mass density   9.6 Mg/m³
Crystal system   monoclinic
Energy of formation   0.08 eV/atom
Energy relative to the lowest polymorph listed for this composition   45.1 meV per atom

---

(4)
Compound: Cu3Ag2
Source: OQMD via LeMat-Bulk
Functional: PBE-GGA
Structure: optimized geometry

abc: 9.3308 9.3308 5.6696
angles: 99.06 99.06 17.08
With the nearest neighbours (Å) after each atom.
Atoms (fractional coordinates):
Ag  0.0000  0.0000  0.0000  8 Cu 2.68-2.71, 4 Ag 2.77-2.83
Ag  0.8026  0.8026  0.3908  8 Cu 2.65-2.94, 4 Ag 2.77-2.83
Ag  0.0000  0.0000  0.5000  4 Ag 2.77-2.83, 8 Cu 2.78-2.81
Ag  0.1974  0.1974  0.6092  8 Cu 2.65-2.94, 4 Ag 2.77-2.83
Cu  0.1986  0.1986  0.0918  8 Cu 2.56-2.77, 3 Ag 2.73
Cu  0.3971  0.3971  0.1805  5 Cu 2.56-2.77, 6 Ag 2.65-2.78
Cu  0.6054  0.6054  0.2865  5 Cu 2.59-2.77, 6 Ag 2.68-2.81
Cu  0.3946  0.3946  0.7135  5 Cu 2.59-2.77, 6 Ag 2.68-2.81
Cu  0.6029  0.6029  0.8195  5 Cu 2.56-2.77, 6 Ag 2.65-2.78
Cu  0.8014  0.8014  0.9082  8 Cu 2.56-2.77, 3 Ag 2.73

Properties
Mass density   9.4 Mg/m³
Crystal system   monoclinic
Energy of formation   0.10 eV/atom
Energy relative to the lowest polymorph listed for this composition   54.8 meV per atom

---

(5)
Compound: CuAg
Source: OQMD via LeMat-Bulk
Functional: PBE-GGA
Structure: optimized geometry

abc: 6.8545 7.6254 17.6637
angles: 89.36 80.91 67.05
With the nearest neighbours (Å) after each atom.
Atoms (fractional coordinates):
Ag  0.6815  0.4449  0.0005  5 Cu 2.68-2.78, 6 Ag 2.84-2.91
Ag  0.3199  0.3904  0.1224  3 Cu 2.59-2.73, 4 Ag 2.83-2.90
Ag  0.8684  0.5194  0.1227  5 Cu 2.68-2.80, 6 Ag 2.81-2.87
Ag  0.7670  0.1882  0.1233  2 Cu 2.76-2.85, 9 Ag 2.80-2.88
Ag  0.2112  0.0679  0.1244  5 Cu 2.64-2.86, 4 Ag 2.82-2.96
Ag  0.4702  0.1474  0.2459  3 Cu 2.64-2.90, 7 Ag 2.82-2.95
Ag  0.5741  0.4769  0.2465  5 Cu 2.68-2.79, 6 Ag 2.84-2.89
Ag  0.0238  0.3526  0.2564  3 Cu 2.65-2.89, 7 Ag 2.82-2.95
Ag  0.9238  0.0239  0.2567  5 Cu 2.68-2.79, 6 Ag 2.82-2.92
Ag  0.2878  0.4328  0.3772  5 Cu 2.63-2.83, 4 Ag 2.78-2.89
Ag  0.6283  0.9781  0.3783  5 Cu 2.68-2.83, 6 Ag 2.80-2.88
Ag  0.1742  0.1120  0.3799  3 Cu 2.60-2.75, 4 Ag 2.84-2.89
Ag  0.7230  0.3142  0.3826  3 Cu 2.72-2.79, 8 Ag 2.78-2.92
Ag  0.8248  0.0460  0.4996  5 Cu 2.71-2.75, 6 Ag 2.84-2.92
Ag  0.8996  0.3926  0.5045  5 Cu 2.69-2.77, 6 Ag 2.81-2.94
Ag  0.3591  0.2008  0.5078  3 Cu 2.71-2.87, 7 Ag 2.80-2.96
Ag  0.0057  0.1251  0.6257  5 Cu 2.63-2.91, 6 Ag 2.87-2.92
Ag  0.5510  0.2945  0.6257  4 Cu 2.67-2.90, 6 Ag 2.84-2.92
Ag  0.0885  0.4670  0.6260  4 Cu 2.62-2.75, 6 Ag 2.80-2.92
Ag  0.7826  0.4247  0.7447  5 Cu 2.67-2.76, 6 Ag 2.81-2.98
Ag  0.2533  0.2475  0.7483  4 Cu 2.75-2.78, 6 Ag 2.81-2.98
Ag  0.7124  0.0785  0.7522  5 Cu 2.68-2.76, 6 Ag 2.86-2.91
Ag  0.9490  0.2155  0.8683  3 Cu 2.73-2.86, 7 Ag 2.80-2.94
Ag  0.4954  0.3717  0.8734  5 Cu 2.64-2.91, 6 Ag 2.85-2.93
Ag  0.4105  0.0306  0.8742  5 Cu 2.63-2.89, 6 Ag 2.83-2.94
Ag  0.1427  0.3131  0.9900  3 Cu 2.66-2.91, 7 Ag 2.81-2.96
Ag  0.0425  0.9804  0.9921  6 Cu 2.66-2.78, 5 Ag 2.80-2.96
Ag  0.5898  0.1094  0.9980  4 Cu 2.65-2.85, 7 Ag 2.85-2.93
Cu  0.6289  0.8935  0.1230  5 Cu 2.51-2.78, 5 Ag 2.64-2.76
Cu  0.0248  0.7914  0.1250  5 Cu 2.52-2.78, 3 Ag 2.68-2.77
Cu  0.4234  0.6828  0.1261  5 Cu 2.49-2.73, 4 Ag 2.59-2.77
Cu  0.1499  0.6400  0.2484  5 Cu 2.51-2.73, 4 Ag 2.65-2.73
Cu  0.7497  0.7496  0.2505  6 Cu 2.53-2.83, 4 Ag 2.68-2.79
Cu  0.3486  0.8586  0.2543  5 Cu 2.52-2.71, 4 Ag 2.64-2.75
Cu  0.0771  0.8157  0.3756  5 Cu 2.50-2.71, 4 Ag 2.60-2.72
Cu  0.8721  0.6043  0.3779  4 Cu 2.51-2.61, 5 Ag 2.63-2.77
Cu  0.4751  0.7034  0.3792  5 Cu 2.52-2.61, 3 Ag 2.68-2.79
Cu  0.2529  0.8919  0.5008  5 Cu 2.50-2.56, 4 Ag 2.69-2.73
Cu  0.0594  0.6670  0.5018  5 Cu 2.50-2.61, 4 Ag 2.65-2.71
Cu  0.6458  0.7785  0.5048  7 Cu 2.47-2.73, 2 Ag 2.68-2.75
Cu  0.4590  0.5326  0.5078  6 Cu 2.54-2.70, 3 Ag 2.72-2.77
Cu  0.6253  0.6128  0.6250  7 Cu 2.47-2.70, 3 Ag 2.67-2.69
Cu  0.8164  0.8437  0.6261  7 Cu 2.49-2.73, 3 Ag 2.70-2.75
Cu  0.2254  0.7425  0.6272  9 Cu 2.51-2.81, 2 Ag 2.62-2.71
Cu  0.4207  0.9746  0.6288  6 Cu 2.49-2.77, 3 Ag 2.63-2.75
Cu  0.3537  0.5645  0.7439  7 Cu 2.51-2.72, 4 Ag 2.71-2.80
Cu  0.5444  0.8049  0.7476  8 Cu 2.49-2.72, 3 Ag 2.65-2.76
Cu  0.9515  0.6982  0.7508  8 Cu 2.49-2.75, 3 Ag 2.64-2.76
Cu  0.1439  0.9334  0.7534  7 Cu 2.51-2.77, 4 Ag 2.73-2.77
Cu  0.0813  0.5284  0.8672  6 Cu 2.49-2.72, 3 Ag 2.64-2.78
Cu  0.2790  0.7512  0.8685  7 Cu 2.51-2.72, 3 Ag 2.63-2.70
Cu  0.6852  0.6527  0.8727  7 Cu 2.49-2.75, 3 Ag 2.70-2.76
Cu  0.8681  0.8920  0.8733  6 Cu 2.49-2.71, 4 Ag 2.68-2.78
Cu  0.8612  0.7152  0.9939  6 Cu 2.51-2.75, 3 Ag 2.70-2.78
Cu  0.4599  0.8237  0.9993  5 Cu 2.49-2.78, 5 Ag 2.65-2.77
Cu  0.2576  0.6067  0.9998  5 Cu 2.53-2.82, 5 Ag 2.66-2.74

Properties
Mass density   9.5 Mg/m³
Crystal system   triclinic
Energy of formation   0.08 eV/atom

---

(6)
Compound: CuAg
Source: OQMD via LeMat-Bulk
Functional: PBE-GGA
Structure: optimized geometry

abc: 4.7464 4.7464 5.5551
angles: 90.00 90.00 108.86
With the nearest neighbours (Å) after each atom.
Atoms (fractional coordinates):
Ag  0.2500  0.2500  0.0000  6 Ag 2.76-2.81, 6 Cu 2.77-2.78
Ag  0.7500  0.7500  0.0000  6 Ag 2.76-2.81, 6 Cu 2.77-2.78
Ag  0.2500  0.7500  0.2713  7 Cu 2.61-2.76, 4 Ag 2.81
Ag  0.7500  0.2500  0.7287  7 Cu 2.61-2.76, 4 Ag 2.81
Cu  0.7500  0.2500  0.2583  7 Ag 2.61-2.77, 4 Cu 2.73
Cu  0.2500  0.2500  0.5000  6 Ag 2.69-2.78, 6 Cu 2.73-2.76
Cu  0.7500  0.7500  0.5000  6 Ag 2.69-2.78, 6 Cu 2.73-2.76
Cu  0.2500  0.7500  0.7417  7 Ag 2.61-2.77, 4 Cu 2.73

Properties
Mass density   9.6 Mg/m³
Crystal system   orthorhombic
Energy of formation   0.10 eV/atom

---

(7)
Compound: Cu5Ag3
Source: OQMD via LeMat-Bulk
Functional: PBE-GGA
Structure: optimized geometry

abc: 6.0327 6.0327 8.9016
angles: 126.26 126.26 26.25
With the nearest neighbours (Å) after each atom.
Atoms (fractional coordinates):
Ag  0.0000  0.0000  0.0000  6 Cu 2.71-2.72, 6 Ag 2.74-2.81
Ag  0.7579  0.7579  0.2608  8 Cu 2.63-2.81, 4 Ag 2.74-2.81
Ag  0.2421  0.2421  0.7392  8 Cu 2.63-2.81, 4 Ag 2.74-2.81
Cu  0.3773  0.3773  0.1302  7 Cu 2.66-2.79, 5 Ag 2.68-2.81
Cu  0.1158  0.1158  0.3738  8 Cu 2.62-2.87, 4 Ag 2.63-2.78
Cu  0.5000  0.5000  0.5000  8 Cu 2.62-2.74, 4 Ag 2.67
Cu  0.8842  0.8842  0.6262  8 Cu 2.62-2.87, 4 Ag 2.63-2.78
Cu  0.6227  0.6227  0.8698  7 Cu 2.66-2.79, 5 Ag 2.68-2.81

Properties
Mass density   9.4 Mg/m³
Crystal system   monoclinic
Energy of formation   0.11 eV/atom
Energy relative to the lowest polymorph listed for this composition   62.6 meV per atom

---

(8)
Compound: Cu3Ag7
Source: OQMD via LeMat-Bulk
Functional: PBE-GGA
Structure: optimized geometry

abc: 22.6852 22.6852 22.6852
angles: 7.26 7.26 7.26
With the nearest neighbours (Å) after each atom.
Atoms (fractional coordinates):
Ag  0.0000  0.0000  0.0000  12 Ag 2.87-2.94
Ag  0.1984  0.1984  0.1984  6 Cu 2.72, 6 Ag 2.87
Ag  0.2975  0.2975  0.2975  12 Ag 2.87-2.94
Ag  0.4049  0.4049  0.4049  3 Cu 2.71, 9 Ag 2.87-2.94
Ag  0.5951  0.5951  0.5951  3 Cu 2.71, 9 Ag 2.87-2.94
Ag  0.7025  0.7025  0.7025  12 Ag 2.87-2.94
Ag  0.8016  0.8016  0.8016  6 Cu 2.72, 6 Ag 2.87
Cu  0.1032  0.1032  0.1032  6 Ag 2.71-2.72, 6 Cu 2.87
Cu  0.5000  0.5000  0.5000  6 Ag 2.72, 6 Cu 2.87
Cu  0.8968  0.8968  0.8968  6 Ag 2.71-2.72, 6 Cu 2.87

Properties
Mass density   9.7 Mg/m³
Crystal system   trigonal
Energy of formation   0.08 eV/atom
Energy relative to the lowest polymorph listed for this composition   48.5 meV per atom

---

(9)
Compound: CuAg
Source: OQMD via LeMat-Bulk
Functional: PBE-GGA
Structure: optimized geometry

abc: 4.7461 4.8312 7.3063
angles: 102.63 108.66 99.37
With the nearest neighbours (Å) after each atom.
Atoms (fractional coordinates):
Ag  0.1871  0.5960  0.1995  7 Cu 2.70-2.85, 5 Ag 2.75-2.81
Ag  0.3940  0.1950  0.3937  7 Cu 2.70-2.78, 5 Ag 2.77-2.82
Ag  0.6129  0.7993  0.5992  6 Cu 2.68-2.83, 6 Ag 2.76-2.82
Ag  0.7990  0.3914  0.8014  6 Cu 2.72-2.87, 6 Ag 2.75-2.82
Ag  0.4061  0.7165  0.9057  8 Cu 2.70-2.88, 4 Ag 2.79-2.82
Cu  0.0036  0.0087  0.0032  8 Ag 2.71-2.87, 4 Cu 2.72-2.75
Cu  0.6010  0.2947  0.1038  6 Ag 2.70-2.85, 6 Cu 2.71-2.84
Cu  0.8074  0.9063  0.3018  6 Ag 2.70-2.85, 6 Cu 2.73-2.84
Cu  0.9943  0.4946  0.4941  7 Ag 2.70-2.86, 5 Cu 2.71-2.81
Cu  0.1947  0.0975  0.6977  7 Ag 2.68-2.88, 5 Cu 2.73-2.82

Properties
Mass density   9.5 Mg/m³
Crystal system   triclinic
Energy of formation   0.11 eV/atom

---

(10)
Compound: CuAg
Source: OQMD via LeMat-Bulk
Functional: PBE-GGA
Structure: optimized geometry

abc: 7.3367 7.3367 4.7816
angles: 96.07 96.07 142.07
With the nearest neighbours (Å) after each atom.
Atoms (fractional coordinates):
Ag  0.8076  0.1924  0.0000  9 Cu 2.62-2.77, 3 Ag 2.78-2.92
Ag  0.5975  0.4025  0.0000  5 Cu 2.73-2.85, 7 Ag 2.77-2.92
Ag  0.2048  0.7952  0.0000  6 Cu 2.71-2.90, 6 Ag 2.78-2.81
Ag  0.4899  0.5101  0.5000  7 Cu 2.63-2.77, 4 Ag 2.82-2.83
Ag  0.0991  0.9009  0.5000  6 Ag 2.77-2.83, 6 Cu 2.78-2.83
Cu  0.9962  0.0038  0.0000  8 Ag 2.62-2.90, 4 Cu 2.73-2.77
Cu  0.4004  0.5996  0.0000  6 Ag 2.69-2.73, 6 Cu 2.73-2.77
Cu  0.8959  0.1041  0.5000  7 Cu 2.60-2.77, 5 Ag 2.69-2.82
Cu  0.7086  0.2914  0.5000  3 Cu 2.60-2.70, 8 Ag 2.76-2.85
Cu  0.3001  0.6999  0.5000  6 Ag 2.63-2.79, 6 Cu 2.70-2.77

Properties
Mass density   9.5 Mg/m³
Crystal system   monoclinic
Energy of formation   0.10 eV/atom

---

- Among the records above, which one has the lowest energy of formation?
  number 2